1.
Here is a relaxed MgAlGa4 crystal from Alexandria via LeMat-Bulk. Energies are from PBE-GGA.

Cell and atoms, written as POSCAR:
```
MgAlGa4
1.0
-3.619 2.868 -0.963
-5.024 -1.621 2.498
0.193 4.835 2.123
Mg Al Ga
1 1 4
direct
0.000 0.000 0.000
0.500 0.500 0.500
0.751 0.584 0.913
0.244 0.089 0.423
0.249 0.416 0.087
0.756 0.911 0.577
```

## Properties
- Distance to the lowest polymorph of the same formula: 0.00 kcal/mol of atoms
- ΔH_f (0 K): -0.014 eV/atom

***

2.
Here is a relaxed MgAlGa4 crystal from Alexandria via LeMat-Bulk. Energies are from PBE-GGA.

Cell and atoms, written as POSCAR:
```
MgAlGa4
1.0
5.481 0.000 0.000
2.740 4.747 0.000
2.740 1.582 4.475
Mg Al Ga
1 1 4
direct
0.000 0.000 0.000
0.250 0.250 0.250
0.625 0.625 0.124
0.625 0.124 0.625
0.625 0.625 0.625
0.124 0.625 0.625
```

## Properties
- Distance to the lowest polymorph of the same formula: 2.25 kcal/mol of atoms
- ΔH_f (0 K): 0.083 eV/atom

***

3.
Here is a relaxed Mg3AlGa3 crystal from Alexandria via LeMat-Bulk. Energies are from PBE-GGA.

Cell and atoms, written as POSCAR:
```
Mg3AlGa3
1.0
-2.872 -3.139 -0.385
1.203 -3.504 -4.104
5.598 -8.960 7.611
Mg Al Ga
6 2 6
direct
0.507 0.351 0.635
0.493 0.649 0.365
0.264 0.251 0.220
0.736 0.749 0.780
0.394 0.288 0.923
0.606 0.712 0.077
0.769 0.055 0.407
0.231 0.945 0.593
0.876 0.687 0.560
0.124 0.313 0.440
0.117 0.843 0.924
0.883 0.157 0.076
0.977 0.817 0.230
0.023 0.183 0.770
```

## Properties
- Distance to the lowest polymorph of the same formula: 0.00 kcal/mol of atoms
- ΔH_f (0 K): -0.101 eV/atom

***

4.
Here is a relaxed Mg2Al3Ga crystal from Alexandria via LeMat-Bulk. Energies are from PBE-GGA.

Cell and atoms, written as POSCAR:
```
Mg2Al3Ga
1.0
0.948 2.134 -4.852
1.649 -5.024 1.016
-5.082 -1.293 1.420
Mg Al Ga
2 3 1
direct
0.752 0.376 0.128
0.248 0.624 0.872
0.500 0.500 0.500
0.000 0.000 0.500
0.500 0.000 0.500
0.000 0.000 0.000
```

## Properties
- ΔH_f (0 K): -0.034 eV/atom

***

5.
Here is a relaxed Mg5AlGa3 crystal from Alexandria via LeMat-Bulk. Energies are from PBE-GGA.

Cell and atoms, written as POSCAR:
```
Mg5AlGa3
1.0
7.275 -0.461 1.311
1.548 7.123 1.311
4.099 3.095 9.331
Mg Al Ga
10 2 6
direct
0.872 0.335 0.270
0.284 0.716 0.000
0.732 0.732 0.029
0.384 0.384 0.378
0.616 0.616 0.622
0.268 0.268 0.971
0.335 0.872 0.270
0.716 0.284 0.000
0.128 0.665 0.730
0.665 0.128 0.730
0.076 0.076 0.713
0.924 0.924 0.287
0.708 0.708 0.794
0.660 0.660 0.333
0.000 0.000 0.000
0.000 0.000 0.500
0.292 0.292 0.206
0.340 0.340 0.667
```

## Properties
- ΔH_f (0 K): 0.091 eV/atom

***

6.
Here is a relaxed Mg2AlGa crystal from Alexandria via LeMat-Bulk. Energies are from PBE-GGA.

Cell and atoms, written as POSCAR:
```
Mg2AlGa
1.0
-0.508 4.603 0.293
-2.199 1.864 3.636
3.080 2.452 3.567
Mg Al Ga
2 1 1
direct
0.055 0.055 0.836
0.268 0.268 0.195
0.488 0.488 0.535
0.689 0.689 0.933
```

## Properties
- ΔH_f (0 K): 0.076 eV/atom

***

7.
Here is a relaxed Mg2AlGa4 crystal from Alexandria via LeMat-Bulk. Energies are from PBE-GGA.

Cell and atoms, written as POSCAR:
```
Mg2AlGa4
1.0
-1.274 2.713 -0.068
-4.777 -2.234 0.328
1.682 1.007 8.716
Mg Al Ga
2 1 4
direct
0.500 0.347 0.657
0.500 0.797 0.485
0.000 0.071 0.072
0.500 0.905 0.810
0.000 0.633 0.219
0.500 0.238 0.333
0.000 0.509 0.924
```

## Properties
- Distance to the lowest polymorph of the same formula: 0.71 kcal/mol of atoms
- ΔH_f (0 K): 0.021 eV/atom

***

8.
Here is a relaxed Mg4AlGa15 crystal from Alexandria via LeMat-Bulk. Energies are from PBE-GGA.

Cell and atoms, written as POSCAR:
```
Mg4AlGa15
1.0
-0.995 -2.017 -3.518
2.479 -3.169 1.116
-16.219 -9.213 9.871
Mg Al Ga
4 1 15
direct
0.000 0.000 0.199
0.000 0.000 0.400
0.000 0.000 0.600
0.000 0.000 0.801
0.000 0.000 0.000
0.500 0.500 0.000
0.500 0.500 0.198
0.500 0.500 0.400
0.500 0.500 0.600
0.500 0.500 0.802
0.500 0.000 0.097
0.500 0.000 0.299
0.500 0.000 0.500
0.500 0.000 0.701
0.500 0.000 0.903
0.000 0.500 0.097
0.000 0.500 0.299
0.000 0.500 0.500
0.000 0.500 0.701
0.000 0.500 0.903
```

## Properties
- ΔH_f (0 K): -0.074 eV/atom

***

9.
Here is a relaxed Mg3AlGa4 crystal from Alexandria via LeMat-Bulk. Energies are from PBE-GGA.

Cell and atoms, written as POSCAR:
```
Mg3AlGa4
1.0
5.143 0.000 0.000
0.000 5.910 0.000
0.000 0.000 9.928
Mg Al Ga
6 2 8
direct
0.000 0.000 0.000
0.000 0.000 0.500
0.614 0.000 0.750
0.386 0.000 0.250
0.634 0.500 0.750
0.366 0.500 0.250
0.000 0.500 0.000
0.000 0.500 0.500
0.500 0.740 0.000
0.500 0.740 0.500
0.500 0.260 0.000
0.500 0.260 0.500
0.125 0.742 0.750
0.875 0.742 0.250
0.875 0.258 0.250
0.125 0.258 0.750
```

## Properties
- Distance to the lowest polymorph of the same formula: 0.00 kcal/mol of atoms
- ΔH_f (0 K): -0.085 eV/atom

***

10.
Here is a relaxed Mg5Al4Ga4 crystal from Alexandria via LeMat-Bulk. Energies are from PBE-GGA.

Cell and atoms, written as POSCAR:
```
Mg5Al4Ga4
1.0
4.029 0.000 1.024
2.014 7.767 0.512
0.100 0.000 8.040
Mg Al Ga
5 4 4
direct
0.702 0.926 0.669
0.298 0.074 0.331
0.000 0.000 0.000
0.629 0.669 0.074
0.371 0.331 0.926
0.897 0.523 0.684
0.581 0.316 0.523
0.103 0.477 0.316
0.419 0.684 0.477
0.755 0.308 0.182
0.245 0.692 0.818
0.937 0.818 0.308
0.063 0.182 0.692
```

## Properties
- ΔH_f (0 K): -0.085 eV/atom

***

11.
Here is a relaxed MgAl6Ga12 crystal from Alexandria via LeMat-Bulk. Energies are from PBE-GGA.

Cell and atoms, written as POSCAR:
```
MgAl6Ga12
1.0
-2.713 6.124 -2.520
-2.239 -5.743 -4.770
-7.763 -0.693 -0.100
Mg Al Ga
1 6 12
direct
0.000 0.000 0.000
0.426 0.473 0.211
0.047 0.684 0.527
0.364 0.789 0.684
0.574 0.527 0.789
0.953 0.316 0.473
0.636 0.211 0.316
0.522 0.850 0.270
0.672 0.879 0.850
0.793 0.270 0.879
0.478 0.150 0.730
0.328 0.121 0.150
0.207 0.730 0.121
0.269 0.431 0.625
0.107 0.375 0.056
0.163 0.056 0.569
0.731 0.569 0.375
0.893 0.625 0.944
0.837 0.944 0.431
```

## Properties
- Distance to the lowest polymorph of the same formula: 0.00 kcal/mol of atoms
- ΔH_f (0 K): 0.012 eV/atom

***

12.
Here is a relaxed Mg2AlGa3 crystal from Alexandria via LeMat-Bulk. Energies are from PBE-GGA.

Cell and atoms, written as POSCAR:
```
Mg2AlGa3
1.0
9.417 2.166 4.054
0.013 6.103 -3.257
4.950 -0.090 7.207
Mg Al Ga
4 2 6
direct
0.744 0.460 0.587
0.766 0.864 0.402
0.256 0.540 0.413
0.234 0.136 0.598
0.746 0.102 0.006
0.254 0.898 0.994
0.500 0.000 0.000
0.000 0.000 0.000
0.594 0.620 0.321
0.406 0.380 0.679
0.906 0.287 0.674
0.094 0.713 0.326
```

## Properties
- Distance to the lowest polymorph of the same formula: 0.77 kcal/mol of atoms
- ΔH_f (0 K): 0.024 eV/atom